A relaxed structure of Ta3IrRh. Source: Alexandria via LeMat-Bulk, functional PBE.

Unit cell a=4.793 b=4.793 c=4.793 alpha=90.00 beta=90.00 gamma=90.00
Space group Pm-3m (No. 221)
Asymmetric unit:
Ta1 0.000 0.000 0.500 [3 per cell]
Ir1 0.000 0.000 0.000 [1 per cell]
Rh1 0.500 0.500 0.500 [1 per cell]

Calculated values
Its formation energy is 1.1494 eV/atom. For the excess energy over the best structure of this formula in the dataset, the calculation gives 0.0 kJ/mol of formula units.

***

A relaxed structure of FeNi2Bi. Source: Alexandria via LeMat-Bulk, functional PBE.

Unit cell a=3.966 b=3.966 c=16.977 alpha=90.00 beta=90.00 gamma=90.00
Space group I-42d (No. 122)
Asymmetric unit:
Fe1 0.000 0.000 0.000 [4 per cell]
Ni1 0.188 0.250 0.125 [8 per cell]
Bi1 0.000 0.000 0.500 [4 per cell]

Calculated values
Its formation energy is 0.5407 eV/atom.

***

A relaxed structure of HfTaCo5. Source: Alexandria via LeMat-Bulk, functional PBE.

Unit cell a=4.248 b=4.248 c=5.466 alpha=90.00 beta=90.00 gamma=90.00
Space group P4/mmm (No. 123)
Asymmetric unit:
Hf1 0.000 0.000 0.000 [1 per cell]
Ta1 0.500 0.500 0.500 [1 per cell]
Co1 0.000 0.500 0.259 [4 per cell]
Co2 0.500 0.500 0.000 [1 per cell]

Calculated values
Its formation energy is 0.1273 eV/atom.

***

A relaxed structure of AgHRu. Source: Alexandria via LeMat-Bulk, functional PBE.

Unit cell a=4.933 b=2.843 c=9.889 alpha=90.00 beta=99.16 gamma=90.00
Space group C2/m (No. 12)
Asymmetric unit:
Ag1 0.207 0.000 0.124 [4 per cell]
H1 0.065 0.000 0.700 [4 per cell]
Ru1 0.132 0.500 0.394 [4 per cell]

Calculated values
Its uncorrected energy is -4.999 eV per atom.

***

A relaxed structure of LiDyGaPt. Source: Alexandria via LeMat-Bulk, functional PBE.

Unit cell a=6.589 b=6.589 c=6.589 alpha=90.00 beta=90.00 gamma=90.00
Space group F-43m (No. 216)
Asymmetric unit:
Li1 0.000 0.000 0.000 [4 per cell]
Dy1 0.250 0.250 0.250 [4 per cell]
Ga1 0.250 0.250 0.750 [4 per cell]
Pt1 0.000 0.000 0.500 [4 per cell]

Calculated values
Its formation energy is -0.7747 eV/atom.

***

A relaxed structure of ScBeRe2. Source: Alexandria via LeMat-Bulk, functional PBE.

Unit cell a=2.950 b=4.426 c=4.678 alpha=90.00 beta=95.94 gamma=90.00
Space group P2/m (No. 10)
Asymmetric unit:
Sc1 0.000 0.000 0.000 [1 per cell]
Be1 0.500 0.000 0.500 [1 per cell]
Re1 0.321 0.500 0.736 [2 per cell]

Calculated values
Its formation energy is 0.1339 eV/atom.

***

A relaxed structure of Zr2BeZn. Source: Alexandria via LeMat-Bulk, functional PBE.

Unit cell a=3.154 b=4.010 c=5.767 alpha=90.00 beta=90.00 gamma=90.00
Space group Pmm2 (No. 25)
Asymmetric unit:
Zr1 0.000 0.000 0.000 [1 per cell]
Zr2 0.500 0.500 0.301 [1 per cell]
Be1 0.000 0.000 0.501 [1 per cell]
Zn1 0.500 0.500 0.774 [1 per cell]

Calculated values
Its formation energy is 0.1071 eV/atom. For the excess energy over the best structure of this formula in the dataset, the calculation gives 109.3 kJ/mol of formula units.

***

A relaxed structure of KMnInH2. Source: Alexandria via LeMat-Bulk, functional PBE.

Unit cell a=4.258 b=4.258 c=7.183 alpha=90.00 beta=90.00 gamma=90.00
Space group P4/mmm (No. 123)
Asymmetric unit:
K1 0.000 0.000 0.000 [1 per cell]
Mn1 0.500 0.500 0.000 [1 per cell]
In1 0.000 0.000 0.500 [1 per cell]
H1 0.000 0.500 0.500 [2 per cell]

Calculated values
Its uncorrected energy is -2.922 eV per atom.

***

| no. | calculated volume (A^3/atom) | theoretical density (g/cm³) |
| --- | --- | --- |
| 1 | 22.02 | 12.638 |
| 2 | 16.69 | 9.508 |
| 3 | 14.09 | 11.013 |
| 4 | 11.41 | 10.186 |
| 5 | 17.87 | 10.085 |
| 6 | 15.19 | 11.654 |
| 7 | 18.24 | 5.847 |
| 8 | 26.04 | 2.689 |